(1)
Compound: SeO2F2
Source: Alexandria
Functional: PBEsol
Structure: optimized geometry

Properties
* spin magnetization: 0.04 μB per formula unit
* energy above the most stable polymorph in this dataset: 0 meV/atom
* formation energy without anion corrections: -0.94 eV/atom

a = 5.6120 Å, b = 5.6120 Å, c = 10.9821 Å
α = 90.00°, β = 90.00°, γ = 90.00°
Space group P4_12_12 (No. 92)
Inequivalent atoms, fractional coordinates:
Se  0.1254  0.1254  0.0000
O  0.0783  0.3519  0.9148
F  0.0813  0.8737  0.9121

(2)
Compound: SeOF2
Source: Alexandria
Functional: PBEsol
Structure: optimized geometry

Properties
* spin magnetization: 0.00 μB per formula unit
* formation energy without anion corrections: -1.39 eV/atom

a = 5.4651 Å, b = 7.7324 Å, c = 5.9599 Å
α = 90.00°, β = 90.00°, γ = 90.00°
Space group Pca2_1 (No. 29)
Inequivalent atoms, fractional coordinates:
Se  0.0394  0.1776  0.0000
O  0.2346  0.0878  0.6404
F  0.1279  0.7339  0.7300
F  0.1616  0.3819  0.9407

(3)
Compound: SeOF3
Source: Alexandria
Functional: PBEsol
Structure: optimized geometry

Properties
* spin magnetization: 1.75 μB per formula unit
* formation energy without anion corrections: -0.34 eV/atom

a = 4.0701 Å, b = 4.0701 Å, c = 4.0701 Å
α = 90.00°, β = 90.00°, γ = 90.00°
Space group Pm-3m (No. 221)
Inequivalent atoms, fractional coordinates:
Se  0.0000  0.0000  0.0000
O  0.5000  0.5000  0.5000
F  0.0000  0.0000  0.5000

(4)
Compound: SeO2F2
Source: Alexandria
Functional: PBEsol
Structure: optimized geometry

Properties
* spin magnetization: 2.03 μB per formula unit
* energy above the most stable polymorph in this dataset: 761 meV/atom
* formation energy without anion corrections: -0.18 eV/atom

a = 4.0932 Å, b = 4.0932 Å, c = 3.7378 Å
α = 90.00°, β = 90.00°, γ = 90.00°
Space group P4/mmm (No. 123)
Inequivalent atoms, fractional coordinates:
Se  0.0000  0.0000  0.0000
O  0.0000  0.0000  0.5000
O  0.5000  0.5000  0.5000
F  0.0000  0.5000  0.0000

(5)
Compound: SeO2F2
Source: Alexandria
Functional: PBEsol
Structure: optimized geometry

Properties
* spin magnetization: 0.00 μB per formula unit
* energy above the most stable polymorph in this dataset: 1817 meV/atom
* formation energy without anion corrections: 0.88 eV/atom

a = 3.5347 Å, b = 3.5347 Å, c = 4.2179 Å
α = 90.00°, β = 90.00°, γ = 90.00°
Space group P4/mmm (No. 123)
Inequivalent atoms, fractional coordinates:
Se  0.0000  0.0000  0.0000
O  0.0000  0.5000  0.5000
F  0.5000  0.5000  0.0000
F  0.5000  0.5000  0.5000

(6)
Compound: SnSeO2F
Source: Alexandria
Functional: PBEsol
Structure: optimized geometry

Properties
* spin magnetization: 0.00 μB per formula unit
* formation energy without anion corrections: -0.65 eV/atom

a = 3.9399 Å, b = 3.9399 Å, c = 4.5985 Å
α = 90.00°, β = 90.00°, γ = 90.00°
Space group P4/mmm (No. 123)
Inequivalent atoms, fractional coordinates:
Sn  0.0000  0.0000  0.0000
Se  0.5000  0.5000  0.5000
O  0.0000  0.5000  0.5000
F  0.5000  0.5000  0.0000